Entry 1:
This record from the Alexandria database describes a geometry-optimized TbFe2SiC structure. The functional is GGA-PBEsol.

ΔE_f (raw) (eV/atom): -0.6014
DOS(E_F) (states/eV/atom): 0.901

Geometry as CIF:
```
data_TbFe2SiC
_chemical_formula_sum 'Tb2 Fe4 Si2 C2'
_cell_length_a 5.4806
_cell_length_b 5.4806
_cell_length_c 6.6339
_cell_angle_alpha 90.00
_cell_angle_beta 90.00
_cell_angle_gamma 140.17
_space_group_name_H-M_alt 'P 1'
_space_group_IT_number 1
loop_
_space_group_symop_operation_xyz
'x,y,z'
loop_
_atom_site_label
_atom_site_fract_x
_atom_site_fract_y
_atom_site_fract_z
_atom_site_occupancy
Tb1 0.0519 0.9481 0.7500 1
Tb2 0.9481 0.0519 0.2500 1
Fe1 0.3345 0.6655 0.5637 1
Fe2 0.3345 0.6655 0.9363 1
Fe3 0.6655 0.3345 0.0637 1
Fe4 0.6655 0.3345 0.4363 1
Si1 0.2293 0.7707 0.2500 1
Si2 0.7707 0.2293 0.7500 1
C1 0.5000 0.5000 0.0000 1
C2 0.5000 0.5000 0.5000 1
```

***

Entry 2:
This record from the Alexandria database describes a geometry-optimized Na2YN structure. The functional is GGA-PBEsol.

ΔE_f (raw) (eV/atom): 1.0404
DOS(E_F) (states/eV/atom): 1.252

Geometry as CIF:
```
data_Na2YN
_chemical_formula_sum 'Na4 Y2 N2'
_cell_length_a 6.9088
_cell_length_b 6.9088
_cell_length_c 6.9088
_cell_angle_alpha 120.46
_cell_angle_beta 120.46
_cell_angle_gamma 89.20
_space_group_name_H-M_alt 'P 1'
_space_group_IT_number 1
loop_
_space_group_symop_operation_xyz
'x,y,z'
loop_
_atom_site_label
_atom_site_fract_x
_atom_site_fract_y
_atom_site_fract_z
_atom_site_occupancy
Na1 0.0000 0.0000 0.0000 1
Na2 0.0000 0.0000 0.5000 1
Na3 0.0000 0.5000 0.0000 1
Na4 0.5000 0.0000 0.5000 1
Y1 0.3750 0.6250 0.7500 1
Y2 0.6250 0.3750 0.2500 1
N1 0.1250 0.8750 0.2500 1
N2 0.8750 0.1250 0.7500 1
```

***

Entry 3:
This record from the Alexandria database describes a geometry-optimized Rb2TlAgGe structure. The functional is GGA-PBEsol.

ΔE_f (kcal/mol of atoms): 6.8
DOS(E_F) (states/eV/atom): 0.617

Geometry as CIF:
```
data_Rb2TlAgGe
_chemical_formula_sum 'Rb2 Tl1 Ag1 Ge1'
_cell_length_a 6.6438
_cell_length_b 6.6438
_cell_length_c 4.7526
_cell_angle_alpha 90.00
_cell_angle_beta 90.00
_cell_angle_gamma 90.00
_space_group_name_H-M_alt 'P 1'
_space_group_IT_number 1
loop_
_space_group_symop_operation_xyz
'x,y,z'
loop_
_atom_site_label
_atom_site_fract_x
_atom_site_fract_y
_atom_site_fract_z
_atom_site_occupancy
Rb1 0.0000 0.5000 0.0000 1
Rb2 0.5000 0.0000 0.0000 1
Tl1 0.0000 0.0000 0.5000 1
Ag1 0.5000 0.5000 0.5000 1
Ge1 0.5000 0.5000 0.0000 1
```

***

Entry 4:
This record from the Alexandria database describes a geometry-optimized Be2Co structure. The functional is GGA-PBEsol.

ΔE_f (kcal/mol of atoms): -6.0
DOS(E_F) (states/eV/atom): 0.582

Geometry as CIF:
```
data_Be2Co
_chemical_formula_sum 'Be4 Co2'
_cell_length_a 4.0822
_cell_length_b 4.0822
_cell_length_c 4.0822
_cell_angle_alpha 60.00
_cell_angle_beta 60.00
_cell_angle_gamma 60.00
_space_group_name_H-M_alt 'P 1'
_space_group_IT_number 1
loop_
_space_group_symop_operation_xyz
'x,y,z'
loop_
_atom_site_label
_atom_site_fract_x
_atom_site_fract_y
_atom_site_fract_z
_atom_site_occupancy
Be1 0.0000 0.0000 0.0000 1
Be2 0.0000 0.0000 0.5000 1
Be3 0.0000 0.5000 0.0000 1
Be4 0.5000 0.0000 0.0000 1
Co1 0.3750 0.3750 0.3750 1
Co2 0.6250 0.6250 0.6250 1
```

***

- What is the DOS(E_F) in the third record?
  0.617 states/eV/atom

***

Please write out number 3 again, unchanged.
This record from the Alexandria database describes a geometry-optimized Rb2TlAgGe structure. The functional is GGA-PBEsol.

ΔE_f (kcal/mol of atoms): 6.8
DOS(E_F) (states/eV/atom): 0.617

Geometry as CIF:
```
data_Rb2TlAgGe
_chemical_formula_sum 'Rb2 Tl1 Ag1 Ge1'
_cell_length_a 6.6438
_cell_length_b 6.6438
_cell_length_c 4.7526
_cell_angle_alpha 90.00
_cell_angle_beta 90.00
_cell_angle_gamma 90.00
_space_group_name_H-M_alt 'P 1'
_space_group_IT_number 1
loop_
_space_group_symop_operation_xyz
'x,y,z'
loop_
_atom_site_label
_atom_site_fract_x
_atom_site_fract_y
_atom_site_fract_z
_atom_site_occupancy
Rb1 0.0000 0.5000 0.0000 1
Rb2 0.5000 0.0000 0.0000 1
Tl1 0.0000 0.0000 0.5000 1
Ag1 0.5000 0.5000 0.5000 1
Ge1 0.5000 0.5000 0.0000 1
```

***

What did the third record say?
This record from the Alexandria database describes a geometry-optimized Rb2TlAgGe structure. The functional is GGA-PBEsol.

ΔE_f (kcal/mol of atoms): 6.8
DOS(E_F) (states/eV/atom): 0.617

Geometry as CIF:
```
data_Rb2TlAgGe
_chemical_formula_sum 'Rb2 Tl1 Ag1 Ge1'
_cell_length_a 6.6438
_cell_length_b 6.6438
_cell_length_c 4.7526
_cell_angle_alpha 90.00
_cell_angle_beta 90.00
_cell_angle_gamma 90.00
_space_group_name_H-M_alt 'P 1'
_space_group_IT_number 1
loop_
_space_group_symop_operation_xyz
'x,y,z'
loop_
_atom_site_label
_atom_site_fract_x
_atom_site_fract_y
_atom_site_fract_z
_atom_site_occupancy
Rb1 0.0000 0.5000 0.0000 1
Rb2 0.5000 0.0000 0.0000 1
Tl1 0.0000 0.0000 0.5000 1
Ag1 0.5000 0.5000 0.5000 1
Ge1 0.5000 0.5000 0.0000 1
```